# 1
## Hf3ReOs (PBE)

Data for a relaxed structure of Hf3ReOs.

For the total energy, the calculation gives -9.58 eV per atom. The value obtained for the formation energy is 1.124 eV per atom. For the relative energy among the computed polymorphs, the calculation gives 0.1343 eV per atom.

The space group is Pm-3m (No. 221) and the conventional cell measures 4.9059, 4.9059 and 4.9059 Å, with angles of 90.00, 90.00 and 90.00 degrees. The asymmetric unit holds Hf at (0.0000, 0.0000, 0.5000), Re at (0.0000, 0.0000, 0.0000) and Os at (0.5000, 0.5000, 0.5000).



# 2
## Hf4ReOs3 (PBE)

Data for a relaxed structure of Hf4ReOs3.

For the total energy, the calculation gives -11.37 eV per atom. The value obtained for the formation energy is -0.625 eV per atom.

The space group is Pmmm (No. 47) and the conventional cell measures 3.2505, 4.6148 and 9.2180 Å, with angles of 90.00, 90.00 and 90.00 degrees. The asymmetric unit holds Hf at (0.0000, 0.0000, 0.0000), Hf at (0.0000, 0.0000, 0.5000), Hf at (0.0000, 0.5000, 0.2492), Re at (0.5000, 0.5000, 0.0000), Os at (0.5000, 0.0000, 0.2518) and Os at (0.5000, 0.5000, 0.5000).



# 3
## HfReOs (PBE)

Data for a relaxed structure of HfReOs.

For the total energy, the calculation gives -11.41 eV per atom. The value obtained for the formation energy is -0.196 eV per atom.

The space group is C2/m (No. 12) and the conventional cell measures 9.6514, 4.2798 and 6.7246 Å, with angles of 90.00, 129.65 and 90.00 degrees. The asymmetric unit holds Hf at (0.0631, 0.0000, 0.3130), Re at (0.1573, 0.5000, 0.0751) and Os at (0.1650, 0.5000, 0.7070).



# 4
## Hf3ReOs (PBE)

Data for a relaxed structure of Hf3ReOs.

For the total energy, the calculation gives -9.72 eV per atom. The value obtained for the formation energy is 0.990 eV per atom. For the relative energy among the computed polymorphs, the calculation gives 0.0000 eV per atom.

The space group is Pm-3m (No. 221) and the conventional cell measures 4.9035, 4.9035 and 4.9035 Å, with angles of 90.00, 90.00 and 90.00 degrees. The asymmetric unit holds Hf at (0.0000, 0.0000, 0.5000), Re at (0.5000, 0.5000, 0.5000) and Os at (0.0000, 0.0000, 0.0000).



# 5
## HfRe3Os (PBE)

Data for a relaxed structure of HfRe3Os.

For the total energy, the calculation gives -10.05 eV per atom. The value obtained for the formation energy is 1.659 eV per atom. For the relative energy among the computed polymorphs, the calculation gives 0.0000 eV per atom.

The space group is Pm-3m (No. 221) and the conventional cell measures 4.6888, 4.6888 and 4.6888 Å, with angles of 90.00, 90.00 and 90.00 degrees. The asymmetric unit holds Hf at (0.0000, 0.0000, 0.0000), Re at (0.0000, 0.5000, 0.5000) and Os at (0.5000, 0.5000, 0.5000).



# 6
## Hf4ReOs (PBE)

Data for a relaxed structure of Hf4ReOs.

For the total energy, the calculation gives -10.88 eV per atom. The value obtained for the formation energy is -0.296 eV per atom. For the relative energy among the computed polymorphs, the calculation gives 0.0000 eV per atom.

The space group is P4/mmm (No. 123) and the conventional cell measures 3.2982, 3.2982 and 10.4504 Å, with angles of 90.00, 90.00 and 90.00 degrees. The asymmetric unit holds Hf at (0.0000, 0.0000, 0.1502), Hf at (0.5000, 0.5000, 0.3484), Re at (0.5000, 0.5000, 0.0000) and Os at (0.0000, 0.0000, 0.5000).



# 7
## HfRe3Os (PBE)

Data for a relaxed structure of HfRe3Os.

For the total energy, the calculation gives -8.81 eV per atom. The value obtained for the formation energy is 2.899 eV per atom. For the relative energy among the computed polymorphs, the calculation gives 1.2409 eV per atom.

The space group is Pm-3m (No. 221) and the conventional cell measures 4.6384, 4.6384 and 4.6384 Å, with angles of 90.00, 90.00 and 90.00 degrees. The asymmetric unit holds Hf at (0.0000, 0.0000, 0.0000), Re at (0.0000, 0.0000, 0.5000) and Os at (0.5000, 0.5000, 0.5000).



# 8
## HfRe2Os2 (PBE)

Data for a relaxed structure of HfRe2Os2.

For the total energy, the calculation gives -11.46 eV per atom. The value obtained for the formation energy is -0.002 eV per atom. For the relative energy among the computed polymorphs, the calculation gives 0.0163 eV per atom.

The space group is P4/mbm (No. 127) and the conventional cell measures 7.6451, 7.6451 and 2.7885 Å, with angles of 90.00, 90.00 and 90.00 degrees. The asymmetric unit holds Hf at (0.0000, 0.0000, 0.0000), Re at (0.1220, 0.3780, 0.0000) and Os at (0.1721, 0.6721, 0.5000).



Q: The highest formation energy belongs to which entry?
A: number 7



Q: What is the formation energy in the fifth record?
A: 1.659 eV per atom